Here is a relaxed structure of K2Tl3I3Cl2 from Alexandria. Energies are from GGA-PBE.

Unit cell a=16.0935 b=16.0935 c=16.0935 alpha=160.88 beta=160.88 gamma=27.17
Fractional positions:
K1 0.2500 0.7500 0.5000
K2 0.7500 0.2500 0.5000
Tl1 0.0000 0.0000 0.0000
Tl2 0.3915 0.3915 0.0000
Tl3 0.6085 0.6085 0.0000
I1 0.1151 0.1151 0.0000
I2 0.5000 0.5000 0.0000
I3 0.8849 0.8849 0.0000
Cl1 0.2905 0.2905 0.0000
Cl2 0.7095 0.7095 0.0000

Properties
**Space-group type**: I4/mmm (139)
**E_form (uncorrected)**: -1.08 eV per atom
**Crystal system**: tetragonal